Compound: Ca3InSi2Au6
Source: Alexandria
Functional: PBE
Structure: optimized geometry

Properties
Uncorrected formation energy (eV per atom): -0.354

a b c (Å): 6.3104 6.3104 8.2932
angles (deg): 90.00 90.00 120.00
Space group P-3m1 (No. 164)
Unique sites:
Ca  0.0000  0.0000  0.0000
Ca  0.3333  0.6667  0.6589
In  0.0000  0.0000  0.5000
Si  0.3333  0.6667  0.0467
Au  0.1795  0.3589  0.2716